This record from the Alexandria database describes crystalline Pm2YSc4 at its relaxed geometry. The functional is GGA-PBE.

Cell and atoms, written as POSCAR:
```
Pm2YSc4
1.0
8.656 1.103 1.260
0.252 9.193 -0.347
-3.371 -5.674 4.737
Pm Y Sc
4 2 8
Direct
0.365 0.400 0.717 Pm
0.673 0.140 0.498 Pm
0.655 0.249 0.997 Pm
0.095 0.429 0.929 Pm
0.079 0.542 0.434 Y
0.385 0.279 0.211 Y
0.933 0.088 0.254 Sc
0.534 0.727 0.384 Sc
0.816 0.590 0.670 Sc
0.954 0.995 0.790 Sc
0.238 0.870 0.091 Sc
0.215 0.949 0.546 Sc
0.511 0.809 0.836 Sc
0.798 0.685 0.142 Sc
```

Computed properties:
VASP energy = -0.43084 Ry per atom
Total moment = 0.000 μB per atom
Energy relative to the elements = 0.04 eV per atom


This record from the Alexandria database describes crystalline Pm2Y7Sc2 at its relaxed geometry. The functional is GGA-PBE.

Cell and atoms, written as POSCAR:
```
Pm2Y7Sc2
1.0
-1.236 6.702 5.361
-6.214 0.959 -1.248
-1.278 -3.369 5.301
Pm Y Sc
2 7 2
Direct
0.857 0.397 0.397 Pm
0.143 0.603 0.603 Pm
0.219 0.076 0.450 Y
0.781 0.550 0.924 Y
0.781 0.924 0.550 Y
0.219 0.450 0.076 Y
0.000 0.000 0.000 Y
0.413 0.849 0.849 Y
0.587 0.151 0.151 Y
0.500 0.331 0.669 Sc
0.500 0.669 0.331 Sc
```

Computed properties:
Energy above the most stable polymorph in this dataset = 0 meV per atom
VASP energy = -0.44315 Ry per atom
Total moment = 0.000 μB per atom
Energy relative to the elements = 0.10 eV per atom


This record from the Alexandria database describes crystalline Pm3Y3Sc at its relaxed geometry. The functional is GGA-PBE.

Cell and atoms, written as POSCAR:
```
Pm3Y3Sc
1.0
5.685 0.000 0.000
0.000 9.585 0.000
0.000 -4.793 8.301
Pm Y Sc
6 6 2
Direct
0.750 0.481 0.383 Pm
0.750 0.902 0.519 Pm
0.250 0.383 0.902 Pm
0.750 0.617 0.098 Pm
0.250 0.098 0.481 Pm
0.250 0.519 0.617 Pm
0.750 0.189 0.948 Y
0.750 0.759 0.811 Y
0.250 0.948 0.759 Y
0.750 0.052 0.241 Y
0.250 0.241 0.189 Y
0.250 0.811 0.052 Y
0.250 0.667 0.333 Sc
0.750 0.333 0.667 Sc
```

Computed properties:
Energy above the most stable polymorph in this dataset = 0 meV per atom
VASP energy = -0.41752 Ry per atom
Total moment = 0.000 μB per atom
Energy relative to the elements = 0.03 eV per atom


This record from the Alexandria database describes crystalline PmYSc4 at its relaxed geometry. The functional is GGA-PBE.

Cell and atoms, written as POSCAR:
```
PmYSc4
1.0
7.971 -1.518 -2.454
-3.095 4.236 -1.029
0.715 2.807 9.406
Pm Y Sc
2 2 8
Direct
0.124 0.874 0.747 Pm
0.876 0.126 0.253 Pm
0.374 0.624 0.247 Y
0.626 0.376 0.753 Y
0.958 0.208 0.917 Sc
0.459 0.709 0.917 Sc
0.295 0.544 0.584 Sc
0.705 0.456 0.416 Sc
0.211 0.961 0.416 Sc
0.541 0.291 0.083 Sc
0.789 0.039 0.584 Sc
0.042 0.792 0.083 Sc
```

Computed properties:
VASP energy = -0.44260 Ry per atom
Total moment = 0.000 μB per atom
Energy relative to the elements = 0.07 eV per atom


Number 3 is which compound?
Pm3Y3Sc


What is the energy relative to the elements in the fourth record?
0.07 eV per atom